Record 1
{"formula": "Li3CuO3", "functional": "PBE", "state": "optimized geometry", "cell": [[-2.558, -0.576, -0.958], [-0.569, -3.840, 3.828], [-3.298, 6.763, 4.737]], "species": ["Li", "Li", "Li", "Li", "Li", "Li", "Cu", "Cu", "O", "O", "O", "O", "O", "O"], "frac_coords": [[0.250, 0.337, 0.399], [0.750, 0.663, 0.601], [0.250, 0.997, 0.894], [0.750, 0.003, 0.106], [0.250, 0.459, 0.889], [0.750, 0.541, 0.111], [0.250, 0.838, 0.344], [0.750, 0.162, 0.656], [0.250, 0.394, 0.640], [0.750, 0.606, 0.360], [0.250, 0.930, 0.670], [0.750, 0.070, 0.330], [0.250, 0.755, 0.039], [0.750, 0.245, 0.961]], "total_energy_ev_per_cell": -68.61, "spacegroup": "No. 11", "crystal_system": "monoclinic"}

---

Record 2
{"formula": "Li2CuO2", "functional": "PBE", "state": "optimized geometry", "cell": [[-2.001, -0.959, 4.965], [-3.317, -3.781, -2.067], [2.053, -2.039, 0.434]], "species": ["O", "O", "O", "O", "Cu", "Cu", "Li", "Li", "Li", "Li"], "frac_coords": [[0.318, 0.818, 0.000], [0.818, 0.682, 0.000], [0.682, 0.182, 0.000], [0.182, 0.318, 0.000], [0.000, 0.000, 0.000], [0.500, 0.500, 0.000], [0.137, 0.637, 0.500], [0.637, 0.863, 0.500], [0.863, 0.363, 0.500], [0.363, 0.137, 0.500]], "e_above_lowest_polymorph_ev_per_atom": 0.1680, "total_energy_ev_per_cell": -47.74, "spacegroup": "No. 127", "crystal_system": "tetragonal"}

---

Record 3
{"formula": "LiCuO2", "functional": "PBE", "state": "optimized geometry", "cell": [[-0.755, 3.640, 2.263], [-3.222, -1.997, 2.138], [1.019, -0.567, 5.436]], "species": ["O", "O", "O", "O", "Cu", "Cu", "Li", "Li"], "frac_coords": [[0.649, 0.125, 0.250], [0.101, 0.625, 0.250], [0.375, 0.351, 0.750], [0.875, 0.899, 0.750], [0.000, 0.000, 0.000], [0.750, 0.250, 0.500], [0.500, 0.500, 0.000], [0.250, 0.750, 0.500]], "total_energy_ev_per_cell": -39.21, "spacegroup": "No. 122", "crystal_system": "tetragonal"}

---

Record 4
{"formula": "Li2CuO", "functional": "PBE", "state": "optimized geometry", "cell": [[-3.641, -3.909, -5.048], [6.001, -4.078, -1.171], [0.599, -5.249, -1.718]], "species": ["O", "O", "Cu", "Cu", "Li", "Li", "Li", "Li"], "frac_coords": [[0.500, 0.500, 0.000], [0.250, 0.750, 0.500], [0.000, 0.000, 0.000], [0.750, 0.250, 0.500], [0.459, 0.125, 0.250], [0.291, 0.625, 0.250], [0.375, 0.541, 0.750], [0.875, 0.709, 0.750]], "total_energy_ev_per_cell": -31.76, "spacegroup": "No. 122", "crystal_system": "tetragonal"}

---

Record 5
{"formula": "Li4Cu3O6", "functional": "PBE", "state": "optimized geometry", "cell": [[4.125, 5.117, -0.086], [-4.125, 5.117, -0.086], [0.000, 3.200, 6.559]], "species": ["Li", "Li", "Li", "Li", "Li", "Li", "Li", "Li", "Cu", "Cu", "Cu", "Cu", "Cu", "Cu", "O", "O", "O", "O", "O", "O", "O", "O", "O", "O", "O", "O"], "frac_coords": [[0.720, 0.044, 0.445], [0.695, 0.695, 0.843], [0.044, 0.720, 0.445], [0.313, 0.639, 0.134], [0.009, 0.336, 0.895], [0.288, 0.288, 0.542], [0.639, 0.313, 0.134], [0.336, 0.009, 0.895], [0.147, 0.814, 0.738], [0.530, 0.858, 0.257], [0.465, 0.465, 0.759], [0.858, 0.530, 0.257], [0.814, 0.147, 0.738], [0.183, 0.183, 0.264], [0.388, 0.720, 0.843], [0.894, 0.894, 0.649], [0.267, 0.917, 0.194], [0.203, 0.541, 0.687], [0.617, 0.617, 0.152], [0.541, 0.203, 0.687], [0.783, 0.783, 0.334], [0.720, 0.388, 0.843], [0.115, 0.450, 0.334], [0.093, 0.093, 0.775], [0.450, 0.115, 0.334], [0.917, 0.267, 0.194]], "e_above_lowest_polymorph_ev_per_atom": 0.0000, "total_energy_ev_per_cell": -131.08, "spacegroup": "No. 8", "crystal_system": "monoclinic"}

---

Record 6
{"formula": "LiCuO2", "functional": "PBE", "state": "optimized geometry", "cell": [[-3.008, -0.693, 1.886], [-1.664, 2.664, 1.793], [-3.191, 1.245, -1.163]], "species": ["O", "O", "Cu", "Li"], "frac_coords": [[0.250, 0.250, 0.250], [0.750, 0.750, 0.750], [0.500, 0.500, 0.500], [0.000, 0.000, 0.000]], "total_energy_ev_per_cell": -18.02, "spacegroup": "No. 225", "crystal_system": "cubic"}

---

Record 7
{"formula": "LiCuO2", "functional": "PBE", "state": "optimized geometry", "cell": [[-0.955, 1.439, 2.749], [-4.088, -2.874, -0.398], [3.554, -2.953, 2.028]], "species": ["O", "O", "O", "O", "Cu", "Cu", "Li", "Li"], "frac_coords": [[0.793, 0.646, 0.261], [0.595, 0.144, 0.295], [0.405, 0.856, 0.705], [0.207, 0.354, 0.739], [0.000, 0.000, 0.500], [0.500, 0.500, 0.500], [0.701, 0.258, 0.963], [0.299, 0.742, 0.037]], "total_energy_ev_per_cell": -40.23, "spacegroup": "No. 2", "crystal_system": "triclinic"}

---

Record 8
{"formula": "Li3CuO", "functional": "PBE", "state": "optimized geometry", "cell": [[-2.342, -3.479, -1.277], [1.735, 0.305, -4.014], [3.274, -2.650, 1.214]], "species": ["O", "Cu", "Li", "Li", "Li"], "frac_coords": [[0.500, 0.500, 0.500], [0.000, 0.000, 0.000], [0.000, 0.500, 0.000], [0.000, 0.000, 0.500], [0.500, 0.000, 0.000]], "e_above_lowest_polymorph_ev_per_atom": 1.1094, "total_energy_ev_per_cell": -13.80, "spacegroup": "No. 221", "crystal_system": "cubic"}